A relaxed La2SbTe crystal. Source: the Alexandria database, functional PBE-GGA.

POSCAR file:
```
La2SbTe
1.0
0.000 3.906 3.906
3.906 0.000 3.906
3.906 3.906 0.000
La Sb Te
2 1 1
Direct
0.000 0.000 0.000
0.250 0.250 0.250
0.500 0.500 0.500
0.750 0.750 0.750
```

Values from the calculation:
E_form (uncorrected)	-2.3	eV per formula unit
relative energy among the computed polymorphs	86.3	kJ/mol of atoms

A relaxed Tb8Sm3Th crystal. Source: the Alexandria database, functional PBE-GGA.

POSCAR file:
```
Tb8Sm3Th
1.0
-3.219 5.717 5.744
3.219 -5.717 5.744
3.219 5.717 -5.744
Tb Sm Th
8 3 1
Direct
0.079 0.831 0.249
0.253 0.007 0.754
0.253 0.499 0.246
0.418 0.169 0.249
0.582 0.831 0.751
0.747 0.501 0.754
0.747 0.993 0.246
0.921 0.169 0.751
0.242 0.500 0.742
0.500 0.000 0.500
0.758 0.500 0.258
0.000 0.000 0.000
```

Values from the calculation:
energy relative to the elements	3.9	eV/f.u.

A relaxed Ac4As2PtSe crystal. Source: the Alexandria database, functional PBE-GGA.

POSCAR file:
```
Ac4As2PtSe
1.0
7.796 0.000 0.000
0.000 4.470 0.000
-2.590 0.000 7.415
Ac As Pt Se
4 2 1 1
Direct
0.245 0.000 0.244
0.254 0.500 0.758
0.746 0.500 0.242
0.755 0.000 0.756
0.000 0.000 0.500
0.000 0.500 0.000
0.500 0.000 0.000
0.500 0.500 0.500
```

Values from the calculation:
E_form (uncorrected)	-11.7	eV per formula unit

A relaxed LaSc2Fe crystal. Source: the Alexandria database, functional PBE-GGA.

POSCAR file:
```
LaSc2Fe
1.0
3.929 0.000 0.000
0.000 4.682 0.000
0.000 0.000 4.974
La Sc Fe
1 2 1
Direct
0.000 0.000 0.000
0.000 0.500 0.500
0.500 0.000 0.500
0.500 0.500 0.000
```

Values from the calculation:
relative energy among the computed polymorphs	29.0	kJ/mol of atoms
energy relative to the elements	1.1	eV/f.u.

| no. | total DFT energy (no corrections) (eV per atom) | Fermi-level density of states (states/eV per cell) |
| --- | --- | --- |
| 1 | -4.862 | 3.12 |
| 2 | -4.563 | 17.09 |
| 3 | -5.873 | 7.05 |
| 4 | -6.248 | 5.06 |